[1]
# KNi3Ir, optimized geometry, DFT PBE-GGA
# D(E_F) in states/eV/f.u.: 5.57
# Distance to the lowest polymorph of the same formula in meV per atom: 1434
# Calculated volume in Å³ per cell: 80.3
# Density in g/cm3: 8.423
data_KNi3Ir
_chemical_formula_sum 'K1 Ni3 Ir1'
_space_group_name_H-M_alt 'P m -3 m'
_space_group_IT_number 221
_space_group_name_Hall '-P 4 2 3'
_cell_length_a 4.3145
_cell_length_b 4.3145
_cell_length_c 4.3145
_cell_angle_alpha 90.00
_cell_angle_beta 90.00
_cell_angle_gamma 90.00
loop_
_atom_site_label
_atom_site_fract_x
_atom_site_fract_y
_atom_site_fract_z
K1 0.0000 0.0000 0.0000
Ni1 0.0000 0.0000 0.5000
Ir1 0.5000 0.5000 0.5000

***

[2]
# KNiIr2, optimized geometry, DFT PBE-GGA
# D(E_F) in states/eV/f.u.: 6.21
# Distance to the lowest polymorph of the same formula in meV per atom: 269
# Calculated volume in Å³ per cell: 391.1
# Density in g/cm3: 8.190
data_KNiIr2
_chemical_formula_sum 'K4 Ni4 Ir8'
_space_group_name_H-M_alt 'I -4 2 d'
_space_group_IT_number 122
_space_group_name_Hall 'I -4 2bw'
_cell_length_a 4.8143
_cell_length_b 4.8143
_cell_length_c 16.8730
_cell_angle_alpha 90.00
_cell_angle_beta 90.00
_cell_angle_gamma 90.00
loop_
_atom_site_label
_atom_site_fract_x
_atom_site_fract_y
_atom_site_fract_z
K1 0.0000 0.0000 0.0000
Ni1 0.0000 0.0000 0.5000
Ir1 0.0333 0.2500 0.6250

***

[3]
# K2NiIr, optimized geometry, DFT PBE-GGA
# D(E_F) in states/eV/f.u.: 3.40
# Distance to the lowest polymorph of the same formula in meV per atom: 99
# Calculated volume in Å³ per cell: 221.6
# Density in g/cm3: 4.931
data_K2NiIr
_chemical_formula_sum 'K4 Ni2 Ir2'
_space_group_name_H-M_alt 'C 1 2/m 1'
_space_group_IT_number 12
_space_group_name_Hall '-C 2y'
_cell_length_a 19.2879
_cell_length_b 2.8285
_cell_length_c 4.1407
_cell_angle_alpha 90.00
_cell_angle_beta 101.14
_cell_angle_gamma 90.00
loop_
_atom_site_label
_atom_site_fract_x
_atom_site_fract_y
_atom_site_fract_z
K1 0.1433 0.0000 0.1398
Ni1 0.0000 0.5000 0.0000
Ir1 0.0000 0.0000 0.5000